Pm5Al4In | PBE | relaxed

The structure in POSCAR format:
```
Pm5Al4In
1.0
3.720 0.000 0.000
0.000 3.720 0.000
0.000 0.000 18.766
In Pm Al
1 5 4
direct
0.000 0.000 0.000
0.500 0.500 0.695
0.500 0.500 0.305
0.500 0.500 0.892
0.500 0.500 0.500
0.500 0.500 0.108
0.000 0.000 0.206
0.000 0.000 0.598
0.000 0.000 0.402
0.000 0.000 0.794
```

Summary:
- formation energy (meV/atom) = -392